An optimized crystal structure of Sr2Cd5Ag4, computed with PBE-GGA.

Summary:
The total DFT energy (no corrections) comes out at -21.587 eV per cell. As for the crystal system: orthorhombic. For the energy above the most stable polymorph in this dataset, the calculation gives 0.13 kcal/mol of atoms. Its formation energy is -0.20 eV per atom.

a b c (Å): 5.893 7.399 7.399
angles (deg): 78.74 66.53 66.53
Fractional positions:
Ag 0.755 0.909 0.581
Ag 0.245 0.091 0.419
Ag 0.245 0.419 0.091
Ag 0.755 0.581 0.909
Sr 0.280 0.720 0.720
Sr 0.720 0.280 0.280
Cd 0.749 0.198 0.802
Cd 0.251 0.198 0.802
Cd 0.251 0.802 0.198
Cd 0.000 0.500 0.500
Cd 0.749 0.802 0.198